# BaPu2CrO8 PBE+U optimized geometry
data_BaPu2CrO8
_chemical_formula_sum 'Ba1 Pu2 Cr1 O8'
_cell_length_a 6.2516
_cell_length_b 6.2516
_cell_length_c 6.9133
_cell_angle_alpha 90.00
_cell_angle_beta 90.00
_cell_angle_gamma 120.00
_symmetry_space_group_name_H-M 'P -3 m 1'
_symmetry_Int_Tables_number 164
_symmetry_space_group_name_Hall '-P 3 2"'
loop_
_atom_site_label
_atom_site_type_symbol
_atom_site_fract_x
_atom_site_fract_y
_atom_site_fract_z
Ba1 Ba 0.0000 0.0000 0.0000
Pu1 Pu 0.3333 0.6667 0.2814
Cr1 Cr 0.0000 0.0000 0.5000
O1 O 0.1485 0.2971 0.3303
O2 O 0.3333 0.6667 0.0063
# E (eV per atom): -8.659
# Magnetization (μB/cell): 8.0